## Rb3IrBr8 (PBE-GGA)

Data for a geometry-optimized Rb3IrBr8 structure.

a b c (Å): 7.8779 7.8779 8.9866
angles (deg): 116.00 116.00 90.00
Last column: nearest neighbours and their distance in Å.
Fractional coordinates of all 12 atoms:
Br 0.3130 0.3130 0.2234  1 Ir 2.74
Br 0.3130 0.9104 0.2234  1 Ir 2.74
Br 0.6870 0.0896 0.7766  1 Ir 2.74
Br 0.6870 0.6870 0.7766  1 Ir 2.74
Br 0.9104 0.9104 0.2234  1 Ir 2.74
Br 0.9104 0.3130 0.2234  1 Ir 2.74
Br 0.0896 0.0896 0.7766  1 Ir 2.74
Br 0.0896 0.6870 0.7766  1 Ir 2.74
Ir 0.0000 0.0000 0.0000  8 Br 2.74
Rb 0.7500 0.2500 0.5000  8 Br 3.44
Rb 0.5000 0.5000 0.0000  8 Br 3.68
Rb 0.2500 0.7500 0.5000  8 Br 3.44

Computed properties:
Raw total energy in eV for the cell shown: -32.95
Mass density in g/cm3: 4.1
E_form (uncorrected) in eV/atom: -0.650


## KHg4Cl (PBE-GGA)

Data for a geometry-optimized KHg4Cl structure.

a b c (Å): 6.4749 6.4749 6.4749
angles (deg): 60.00 60.00 60.00
Last column: nearest neighbours and their distance in Å.
Fractional coordinates of all 6 atoms:
Hg 0.8779 0.3740 0.3740  6 Hg 3.21-3.26
Hg 0.3740 0.3740 0.3740  6 Hg 3.21-3.26
Hg 0.3740 0.3740 0.8779  6 Hg 3.21-3.26
Hg 0.3740 0.8779 0.3740  6 Hg 3.21-3.26
K 0.7500 0.7500 0.7500  12 Hg 3.80, 4 Cl 3.97
Cl 0.0000 0.0000 0.0000  12 Hg 3.79, 4 K 3.97

Computed properties:
Raw total energy in eV for the cell shown: -6.87
Mass density in g/cm3: 7.6
E_form (uncorrected) in eV/atom: -0.454